[1]
LiDyHo (PBE-GGA, relaxed); space-group type = No. 216; raw total energy = -3.173 eV per atom; magnetic moment = 0.08 μB per formula unit; ρ = 6.2 Mg/m³; crystal system = cubic
1.0
0.0000 3.5527 3.5527
3.5527 0.0000 3.5527
3.5527 3.5527 0.0000
Ho Dy Li
1 1 1
direct
0.0000 0.0000 0.0000
0.5000 0.5000 0.5000
0.2500 0.2500 0.2500



[2]
Mg6CdHg (PBE-GGA, relaxed); space-group type = No. 187; raw total energy = -1.422 eV per atom; ρ = 4.4 Mg/m³; crystal system = hexagonal
1.0
-2.6613 2.0352 -5.3249
3.7775 -5.0300 -0.0939
-3.9433 -2.9770 0.8330
Cd Mg Hg
1 6 1
direct
0.0000 0.0000 0.0000
0.4986 0.5014 0.0000
0.0028 0.5014 0.0000
0.3310 0.1655 0.5000
0.8345 0.1655 0.5000
0.4986 0.9972 0.0000
0.8345 0.6690 0.5000
0.3333 0.6667 0.5000



[3]
ErCuAg (PBE-GGA, relaxed); space-group type = No. 216; raw total energy = -3.459 eV per atom; magnetic moment = 0.00 μB per formula unit; ρ = 7.8 Mg/m³; formation enthalpy at 0 K = 0.24 eV per atom; crystal system = cubic
1.0
0.0000 3.2994 3.2994
3.2994 0.0000 3.2994
3.2994 3.2994 0.0000
Cu Ag Er
1 1 1
direct
0.7500 0.7500 0.7500
0.2500 0.2500 0.2500
0.0000 0.0000 0.0000



[4]
ZnFeAsW (PBE-GGA, relaxed); space-group type = No. 216; raw total energy = -6.397 eV per atom; magnetic moment = 1.98 μB per formula unit; ρ = 11.3 Mg/m³; crystal system = cubic
1.0
0.0000 3.0367 3.0367
3.0367 0.0000 3.0367
3.0367 3.0367 0.0000
Fe W Zn As
1 1 1 1
direct
0.7500 0.7500 0.7500
0.2500 0.2500 0.2500
0.5000 0.5000 0.5000
0.0000 0.0000 0.0000



[5]
LiBe2Ag (PBE-GGA, relaxed); space-group type = No. 216; raw total energy = -2.913 eV per atom; ρ = 4.8 Mg/m³; crystal system = cubic
1.0
0.0000 2.8427 2.8427
2.8427 0.0000 2.8427
2.8427 2.8427 0.0000
Be Ag Li
2 1 1
direct
0.7500 0.7500 0.7500
0.0000 0.0000 0.0000
0.2500 0.2500 0.2500
0.5000 0.5000 0.5000



[6]
KHfTe3Au (PBE-GGA, relaxed); space-group type = No. 62; raw total energy = -4.569 eV per atom; magnetic moment = 0.00 μB per formula unit; ρ = 7.1 Mg/m³; crystal system = orthorhombic
1.0
12.7901 0.0000 0.0000
0.0000 4.2806 0.0000
0.0000 0.0000 13.5328
Te Hf Au K
12 4 4 4
direct
0.9675 0.0000 0.1839
0.2313 0.5000 0.1590
0.0325 0.5000 0.8161
0.0812 0.0000 0.4260
0.4188 0.5000 0.9260
0.5812 0.0000 0.0740
0.7687 0.0000 0.8410
0.4675 0.0000 0.3161
0.7313 0.5000 0.3410
0.9188 0.5000 0.5740
0.2687 0.0000 0.6590
0.5325 0.5000 0.6839
0.9453 0.5000 0.3341
0.0547 0.0000 0.6659
0.4453 0.5000 0.1659
0.5547 0.0000 0.8341
0.7476 0.5000 0.7054
0.2524 0.0000 0.2946
0.7524 0.0000 0.2054
0.2476 0.5000 0.7946
0.3254 0.5000 0.4743
0.1746 0.0000 0.9743
0.6746 0.0000 0.5257
0.8254 0.5000 0.0257



[7]
Ba2CdTcSe6 (PBE-GGA, relaxed); space-group type = No. 139; raw total energy = -4.355 eV per atom; magnetic moment = 2.22 μB per formula unit; ρ = 5.7 Mg/m³; crystal system = tetragonal
1.0
-3.6692 3.6692 5.2005
3.6692 -3.6692 5.2005
3.6692 3.6692 -5.2005
Se Ba Tc Cd
6 2 1 1
direct
0.7413 0.7413 0.4826
0.7413 0.2587 0.0000
0.2585 0.2585 0.0000
0.2587 0.7413 0.0000
0.2587 0.2587 0.5174
0.7415 0.7415 0.0000
0.7500 0.2500 0.5000
0.2500 0.7500 0.5000
0.5000 0.5000 0.0000
0.0000 0.0000 0.0000



[8]
Zr2H (PBE-GGA, relaxed); space-group type = No. 156; raw total energy = -7.034 eV per atom; magnetic moment = 0.00 μB per formula unit; ρ = 6.2 Mg/m³; crystal system = trigonal
1.0
-3.1342 0.5111 -0.7225
2.0111 -1.2245 -2.2500
-2.3864 -9.9756 3.2960
Zr H
4 2
direct
0.3333 0.6667 0.1647
0.6667 0.3333 0.6433
0.0000 0.0000 0.9222
0.0000 0.0000 0.4033
0.0000 0.0000 0.7267
0.6667 0.3333 0.8395



[9]
Tb2TlCuNi (PBE-GGA, relaxed); space-group type = No. 38; raw total energy = -4.581 eV per atom; magnetic moment = 0.00 μB per formula unit; ρ = 10.0 Mg/m³; crystal system = orthorhombic
1.0
3.6847 0.0000 0.0000
0.0000 2.0116 7.1929
0.0000 -2.0116 7.1929
Tb Cu Tl Ni
2 1 1 1
direct
0.5000 0.6363 0.6363
0.5000 0.3622 0.3622
0.0000 0.7982 0.7982
0.0000 0.0019 0.0019
0.0000 0.2015 0.2015



[10]
Gd3Os2Pt (PBE-GGA, relaxed); space-group type = No. 164; raw total energy = -7.052 eV per atom; magnetic moment = 0.01 μB per formula unit; ρ = 13.0 Mg/m³; formation enthalpy at 0 K = 0.03 eV per atom; crystal system = trigonal
1.0
-2.2398 2.5001 1.3414
-1.2601 -2.5376 -2.2448
-2.3038 -7.0091 9.2164
Os Gd Pt
2 3 1
direct
0.6667 0.3333 0.1695
0.3333 0.6667 0.8305
0.0000 0.0000 0.0000
0.6667 0.3333 0.6669
0.3333 0.6667 0.3331
0.0000 0.0000 0.5000



[11]
ReTcAsO (PBE-GGA, relaxed); space-group type = No. 26; raw total energy = -8.373 eV per atom; magnetic moment = 0.00 μB per formula unit; ρ = 10.7 Mg/m³; crystal system = orthorhombic
1.0
4.0569 0.0000 0.0000
0.0000 5.5610 0.0000
0.0000 0.0000 5.1625
Re As Tc O
2 2 2 2
direct
0.5000 0.5810 0.5576
0.5000 0.4190 0.0576
0.0000 0.8265 0.3951
0.0000 0.1735 0.8951
0.0000 0.2950 0.3932
0.0000 0.7050 0.8932
0.5000 0.2378 0.4080
0.5000 0.7622 0.9080



[12]
PrNdCu4 (PBE-GGA, relaxed); space-group type = No. 216; raw total energy = -4.121 eV per atom; magnetic moment = 0.04 μB per formula unit; ρ = 8.3 Mg/m³; formation enthalpy at 0 K = -0.05 eV per atom; crystal system = cubic
1.0
0.0000 3.7799 3.7799
3.7799 0.0000 3.7799
3.7799 3.7799 0.0000
Cu Nd Pr
4 1 1
direct
0.1259 0.6223 0.1259
0.1259 0.1259 0.6223
0.6223 0.1259 0.1259
0.1259 0.1259 0.1259
0.5000 0.5000 0.5000
0.7500 0.7500 0.7500



[13]
ErMgSb (PBE-GGA, relaxed); space-group type = No. 216; raw total energy = -3.659 eV per atom; magnetic moment = 0.01 μB per formula unit; ρ = 6.1 Mg/m³; crystal system = cubic
1.0
-4.6150 -0.8068 1.5927
-3.6785 2.9654 -1.4698
-3.4384 -1.6891 -3.1320
Er Sb Mg
1 1 1
direct
0.2500 0.2500 0.2500
0.0000 0.0000 0.0000
0.7500 0.7500 0.7500



[14]
Ba2LiOsS6 (PBE-GGA, relaxed); space-group type = No. 225; raw total energy = -5.074 eV per atom; magnetic moment = 0.01 μB per formula unit; ρ = 5.0 Mg/m³; crystal system = cubic
1.0
-6.3277 -1.4305 -1.9629
-5.2416 3.2122 2.8543
-3.5474 4.5373 -3.5733
Ba S Li Os
2 6 1 1
direct
0.7500 0.7500 0.7500
0.2500 0.2500 0.2500
0.2458 0.2458 0.7542
0.7542 0.7542 0.2458
0.7542 0.2458 0.2458
0.2458 0.7542 0.2458
0.7542 0.2458 0.7542
0.2458 0.7542 0.7542
0.5000 0.5000 0.5000
0.0000 0.0000 0.0000



[15]
DyHgPO (PBE-GGA, relaxed); space-group type = No. 129; raw total energy = -4.971 eV per atom; magnetic moment = 0.00 μB per formula unit; ρ = 8.8 Mg/m³; crystal system = tetragonal
1.0
5.7512 0.0000 0.0000
0.0000 5.7512 0.0000
0.0000 0.0000 4.6893
P Hg Dy O
2 2 2 2
direct
0.5000 0.0000 0.5055
0.0000 0.5000 0.4945
0.5000 0.0000 0.0057
0.0000 0.5000 0.9943
0.5000 0.5000 0.5000
0.0000 0.0000 0.5000
0.5000 0.5000 0.0000
0.0000 0.0000 0.0000



[16]
PmCoPt (PBE-GGA, relaxed); space-group type = No. 216; raw total energy = -6.118 eV per atom; magnetic moment = 1.76 μB per formula unit; ρ = 9.6 Mg/m³; formation enthalpy at 0 K = -0.15 eV per atom; crystal system = cubic
1.0
-0.3052 -4.4036 1.2922
-4.1249 -1.9118 0.6963
-1.5988 -3.1542 -2.9410
Co Pt Pm
1 1 1
direct
0.2500 0.2500 0.2500
0.0000 0.0000 0.0000
0.7500 0.7500 0.7500



[17]
Ho3B2 (PBE-GGA, relaxed); space-group type = No. 127; raw total energy = -5.562 eV per atom; magnetic moment = 0.01 μB per formula unit; ρ = 9.2 Mg/m³; crystal system = tetragonal
1.0
-3.9887 4.6668 -2.7201
-5.1809 -2.3484 3.5680
0.9453 2.6088 3.0897
B Ho
4 6
direct
0.0898 0.5898 0.0000
0.4102 0.0898 0.0000
0.9102 0.4102 0.0000
0.5898 0.9102 0.0000
0.6728 0.1728 0.5000
0.3272 0.8272 0.5000
0.8272 0.6728 0.5000
0.1728 0.3272 0.5000
0.0000 0.0000 0.0000
0.5000 0.5000 0.0000



[18]
BaDyPb (PBE-GGA, relaxed); space-group type = No. 216; raw total energy = -3.560 eV per atom; magnetic moment = 0.12 μB per formula unit; ρ = 6.8 Mg/m³; crystal system = cubic
1.0
0.0000 3.9504 3.9504
3.9504 0.0000 3.9504
3.9504 3.9504 0.0000
Dy Pb Ba
1 1 1
direct
0.7500 0.7500 0.7500
0.0000 0.0000 0.0000
0.2500 0.2500 0.2500



[19]
CsPaIn (PBE-GGA, relaxed); space-group type = No. 216; raw total energy = -3.093 eV per atom; magnetic moment = 1.33 μB per formula unit; ρ = 6.3 Mg/m³; crystal system = cubic
1.0
-5.4625 0.4292 1.3245
-3.4208 3.1904 -3.1460
-3.8936 -2.4254 -3.2764
Pa Cs In
1 1 1
direct
0.7500 0.7500 0.7500
0.2500 0.2500 0.2500
0.0000 0.0000 0.0000



[20]
SrTb2Al2O7 (PBE-GGA, relaxed); space-group type = No. 139; raw total energy = -7.665 eV per atom; magnetic moment = 0.00 μB per formula unit; ρ = 7.1 Mg/m³; crystal system = tetragonal
1.0
-1.9511 -2.9990 0.9291
3.0425 -1.5362 1.4308
-2.5982 6.2943 7.5075
Tb Al O Sr
2 2 7 1
direct
0.3181 0.3181 0.6363
0.6819 0.6819 0.3637
0.0960 0.0960 0.1920
0.9040 0.9040 0.8080
0.0000 0.0000 0.0000
0.7956 0.7956 0.5912
0.2044 0.2044 0.4088
0.1053 0.6053 0.2107
0.3947 0.8947 0.7893
0.6053 0.1053 0.2107
0.8947 0.3947 0.7893
0.5000 0.5000 0.0000



[21]
Re3Se4 (PBE-GGA, relaxed); space-group type = No. 12; raw total energy = -7.168 eV per atom; magnetic moment = 0.01 μB per formula unit; ρ = 11.5 Mg/m³; crystal system = monoclinic
1.0
-1.6238 6.4349 -1.8595
-1.7537 4.7794 -4.6458
-4.9108 -3.4148 2.2576
Re Se
3 4
direct
0.0000 0.0000 0.0000
0.7437 0.7437 0.6759
0.2563 0.2563 0.3241
0.6413 0.6413 0.9734
0.9019 0.9019 0.5634
0.0981 0.0981 0.4366
0.3587 0.3587 0.0266



[22]
KPPdO (PBE-GGA, relaxed); space-group type = No. 129; raw total energy = -4.371 eV per atom; ρ = 3.7 Mg/m³; crystal system = tetragonal
1.0
-3.8366 1.3847 -0.2546
-0.7104 -2.5420 -3.1201
-3.0450 -7.2266 6.5810
P Pd O K
2 2 2 2
direct
0.5000 0.0000 0.3814
0.0000 0.5000 0.6186
0.5000 0.5000 0.5000
0.0000 0.0000 0.5000
0.5000 0.5000 0.0000
0.0000 0.0000 0.0000
0.5000 0.0000 0.8456
0.0000 0.5000 0.1544



[23]
Ta4InPC2 (PBE-GGA, relaxed); space-group type = No. 187; raw total energy = -9.821 eV per atom; magnetic moment = 0.01 μB per formula unit; ρ = 12.6 Mg/m³; crystal system = hexagonal
1.0
3.2401 0.0000 0.0000
-1.6200 2.8060 0.0000
0.0000 0.0000 12.9782
In C P Ta
1 2 1 4
direct
0.3333 0.6667 0.0000
0.0000 0.0000 0.7286
0.0000 0.0000 0.2714
0.6667 0.3333 0.5000
0.6667 0.3333 0.8150
0.3333 0.6667 0.6341
0.6667 0.3333 0.1850
0.3333 0.6667 0.3659



[24]
CoSn10Te10 (PBE-GGA, relaxed); space-group type = No. 55; raw total energy = -3.848 eV per atom; magnetic moment = 0.00 μB per formula unit; ρ = 6.3 Mg/m³; crystal system = orthorhombic
1.0
9.0218 0.0000 0.0000
0.0000 11.8709 0.0000
0.0000 0.0000 12.4307
Sn Te Co
20 20 2
direct
0.2861 0.3706 0.9249
0.0000 0.2615 0.1988
0.5000 0.1168 0.6703
0.7139 0.8706 0.5751
0.2861 0.1294 0.4249
0.5000 0.6168 0.8297
0.7139 0.3706 0.9249
0.7644 0.5000 0.5000
0.0000 0.7615 0.3012
0.2861 0.8706 0.5751
0.0000 0.7385 0.8012
0.2356 0.0000 0.0000
0.0000 0.2385 0.6988
0.7139 0.1294 0.4249
0.7644 0.0000 0.0000
0.5000 0.3832 0.1703
0.5000 0.8832 0.3297
0.2356 0.5000 0.5000
0.2861 0.6294 0.0751
0.7139 0.6294 0.0751
0.0000 0.0038 0.3361
0.0000 0.4962 0.8361
0.0000 0.9962 0.6639
0.0000 0.8039 0.0526
0.3088 0.3229 0.6846
0.0000 0.6961 0.5526
0.5000 0.8619 0.0950
0.6912 0.8229 0.8154
0.3088 0.1771 0.1846
0.3088 0.8229 0.8154
0.6912 0.6771 0.3154
0.0000 0.1961 0.9474
0.3088 0.6771 0.3154
0.6912 0.3229 0.6846
0.5000 0.3619 0.4050
0.0000 0.5038 0.1639
0.6912 0.1771 0.1846
0.0000 0.3039 0.4474
0.5000 0.6381 0.5950
0.5000 0.1381 0.9050
0.5000 0.5000 0.0000
0.5000 0.0000 0.5000